# 1
Ba3Mg, relaxed, DFT PBEsol; energy of formation = 0.0147 eV/atom; calculated volume = 47.34 A^3/atom; energy above the lowest structure with this stoichiometry = 0.0302 eV/atom
1.0
-3.7724 2.2780 0.9975
-3.4200 -4.1051 -3.5592
2.6932 -2.8754 6.5187
Mg Ba
1 3
direct
0.0000 0.5000 0.0000 Mg
0.7193 0.7193 0.4385 Ba
0.2807 0.2807 0.5615 Ba
0.5000 0.0000 0.0000 Ba

# 2
TlRh2Se, relaxed, DFT PBEsol; calculated volume = 17.23 A^3/atom; E_form (uncorrected) = 0.015 eV/atom
1.0
-3.0174 -0.6969 1.2005
1.5995 -2.1802 2.7548
1.0015 5.7291 1.2483
Tl Rh Se
1 2 1
direct
0.2117 0.7117 0.4235 Tl
0.8033 0.3033 0.6067 Rh
0.0176 0.0176 0.0352 Rh
0.4673 0.4673 0.9346 Se